Record 1
Here is CaTlRe after structural relaxation from the Alexandria database. Energies are from PBE-GGA.

Calculated values
energy above the most stable polymorph in this dataset: 22.5 meV/atom
crystal system: hexagonal

Lattice parameters (Å, degrees): 5.0326 5.0326 2.9589 90.00 90.00 120.00
Space group P-6m2 (No. 187)
Symmetry-distinct sites (fractional):
Ca (0.0000, 0.0000, 0.0000) [1 per cell]
Tl (0.3333, 0.6667, 0.5000) [1 per cell]
Re (0.6667, 0.3333, 0.5000) [1 per cell]



Record 2
Here is CaTlRe after structural relaxation from the Alexandria database. Energies are from PBE-GGA.

Calculated values
energy above the most stable polymorph in this dataset: 67.2 meV/atom
crystal system: tetragonal

Lattice parameters (Å, degrees): 3.601 3.601 10.542 90.00 90.00 90.00
Space group I4mm (No. 107)
Symmetry-distinct sites (fractional):
Ca (0.000, 0.000, 0.000) [2 per cell]
Tl (0.000, 0.000, 0.704) [2 per cell]
Re (0.000, 0.000, 0.315) [2 per cell]



Record 3
Here is CaTlRe4 after structural relaxation from the Alexandria database. Energies are from PBE-GGA.

Calculated values
crystal system: cubic

Lattice parameters (Å, degrees): 7.602 7.602 7.602 90.00 90.00 90.00
Space group F-43m (No. 216)
Symmetry-distinct sites (fractional):
Ca (0.000, 0.000, 0.000) [4 per cell]
Tl (0.250, 0.250, 0.250) [4 per cell]
Re (0.125, 0.125, 0.625) [16 per cell]



Record 4
Here is CaTlRe2 after structural relaxation from the Alexandria database. Energies are from PBE-GGA.

Calculated values
energy above the most stable polymorph in this dataset: 434.5 meV/atom
crystal system: monoclinic

Lattice parameters (Å, degrees): 10.278 3.754 5.110 90.00 110.96 90.00
Space group C2/m (No. 12)
Symmetry-distinct sites (fractional):
Ca (0.000, 0.000, 0.000) [2 per cell]
Tl (0.000, 0.500, 0.500) [2 per cell]
Re (0.241, 0.000, 0.636) [4 per cell]



Record 5
Here is Ca2TlRe after structural relaxation from the Alexandria database. Energies are from PBE-GGA.

Calculated values
energy above the most stable polymorph in this dataset: 224.2 meV/atom
crystal system: monoclinic

Lattice parameters (Å, degrees): 9.582 2.986 7.011 90.00 95.27 90.00
Space group C2/m (No. 12)
Symmetry-distinct sites (fractional):
Ca (0.245, 0.000, 0.225) [4 per cell]
Tl (0.000, 0.000, 0.500) [2 per cell]
Re (0.000, 0.500, 0.000) [2 per cell]



Record 6
Here is CaTlRe2 after structural relaxation from the Alexandria database. Energies are from PBE-GGA.

Calculated values
energy above the most stable polymorph in this dataset: 628.0 meV/atom
crystal system: monoclinic

Lattice parameters (Å, degrees): 5.741 10.058 2.819 90.00 112.39 90.00
Space group C2/m (No. 12)
Symmetry-distinct sites (fractional):
Ca (0.000, 0.000, 0.000) [2 per cell]
Tl (0.000, 0.500, 0.000) [2 per cell]
Re (0.250, 0.250, 0.500) [4 per cell]



Record 7
Here is CaTlRe2 after structural relaxation from the Alexandria database. Energies are from PBE-GGA.

Calculated values
energy above the most stable polymorph in this dataset: 238.6 meV/atom
crystal system: monoclinic

Lattice parameters (Å, degrees): 8.172 3.239 7.024 90.00 98.93 90.00
Space group Cm (No. 8)
Symmetry-distinct sites (fractional):
Ca (0.000, 0.000, 0.000) [2 per cell]
Tl (0.261, 0.500, 0.324) [2 per cell]
Re (0.014, 0.500, 0.591) [2 per cell]
Re (0.236, 0.000, 0.702) [2 per cell]



Record 8
Here is Ca2TlRe2 after structural relaxation from the Alexandria database. Energies are from PBE-GGA.

Calculated values
energy above the most stable polymorph in this dataset: 195.2 meV/atom
crystal system: tetragonal

Lattice parameters (Å, degrees): 7.057 7.057 4.776 90.00 90.00 90.00
Space group P4/mbm (No. 127)
Symmetry-distinct sites (fractional):
Ca (0.172, 0.328, 0.000) [4 per cell]
Tl (0.000, 0.000, 0.500) [2 per cell]
Re (0.115, 0.615, 0.500) [4 per cell]



Number 1: E_form 0.70 eV/atom. Number 2: E_form 0.75 eV/atom. Number 3: E_form 0.50 eV/atom. Number 4: E_form 0.71 eV/atom. Number 5: E_form 0.67 eV/atom. Number 6: E_form 0.90 eV/atom. Number 7: E_form 0.51 eV/atom. Number 8: E_form 0.47 eV/atom.